Density functional theory data (PBE) for a geometry-optimized K2RbCl2 structure.

Lattice parameters (Å, degrees): 8.358 8.358 8.358 139.11 139.11 59.21
Sites, in units of the cell vectors:
K1 0.185 0.185 0.000
K2 0.815 0.815 0.000
Rb1 0.500 0.500 0.000
Cl1 0.250 0.750 0.500
Cl2 0.750 0.250 0.500

***

Density functional theory data (PBE) for a geometry-optimized K6RbCl8 structure.

Lattice parameters (Å, degrees): 11.226 11.226 4.851 90.00 90.00 120.00
Sites, in units of the cell vectors:
K1 0.124 0.657 0.242
K2 0.343 0.468 0.242
K3 0.468 0.124 0.758
K4 0.532 0.876 0.242
K5 0.657 0.532 0.758
K6 0.876 0.343 0.758
Rb1 0.000 0.000 0.500
Cl1 0.033 0.327 0.260
Cl2 0.294 0.967 0.260
Cl3 0.327 0.294 0.740
Cl4 0.333 0.667 0.744
Cl5 0.667 0.333 0.256
Cl6 0.673 0.706 0.260
Cl7 0.706 0.033 0.740
Cl8 0.967 0.673 0.740

***

Density functional theory data (PBE) for a geometry-optimized K3Rb2Cl4 structure.

Lattice parameters (Å, degrees): 8.068 8.068 11.502 117.99 117.99 32.79
Sites, in units of the cell vectors:
K1 0.000 0.000 0.000
K2 0.204 0.204 0.813
K3 0.796 0.796 0.187
Rb1 0.397 0.397 0.604
Rb2 0.603 0.603 0.396
Cl1 0.202 0.202 0.287
Cl2 0.399 0.399 0.095
Cl3 0.601 0.601 0.905
Cl4 0.798 0.798 0.713

***

Density functional theory data (PBE) for a geometry-optimized K3RbCl structure.

Lattice parameters (Å, degrees): 7.842 7.842 7.842 90.00 90.00 90.00
Sites, in units of the cell vectors:
K1 0.000 0.000 0.500
K2 0.000 0.500 0.000
K3 0.500 0.000 0.000
Rb1 0.000 0.000 0.000
Cl1 0.500 0.500 0.500

***

Density functional theory data (PBE) for a geometry-optimized K3RbCl4 structure.

Lattice parameters (Å, degrees): 7.904 7.904 4.562 90.00 90.00 109.43
Sites, in units of the cell vectors:
K1 0.000 0.000 0.000
K2 0.000 0.500 0.500
K3 0.500 0.000 0.500
Rb1 0.500 0.500 0.000
Cl1 0.242 0.242 0.500
Cl2 0.246 0.754 0.000
Cl3 0.754 0.246 0.000
Cl4 0.758 0.758 0.500

***

Density functional theory data (PBE) for a geometry-optimized KRbCl structure.

Lattice parameters (Å, degrees): 4.650 4.650 8.051 90.00 90.00 120.00
Sites, in units of the cell vectors:
K1 0.000 0.000 0.000
Rb1 0.667 0.333 0.523
Cl1 0.333 0.667 0.777

***

Density functional theory data (PBE) for a geometry-optimized K4Rb2Cl structure.

Lattice parameters (Å, degrees): 13.240 13.240 13.240 152.46 152.46 39.35
Sites, in units of the cell vectors:
K1 0.000 0.500 0.500
K2 0.128 0.128 0.000
K3 0.500 0.000 0.500
K4 0.872 0.872 0.000
Rb1 0.316 0.316 0.000
Rb2 0.684 0.684 0.000
Cl1 0.000 0.000 0.000

***

Density functional theory data (PBE) for a geometry-optimized K2RbCl2 structure.

Lattice parameters (Å, degrees): 9.014 9.014 4.617 90.00 90.00 90.00
Sites, in units of the cell vectors:
K1 0.149 0.351 0.000
K2 0.351 0.851 0.000
K3 0.649 0.149 0.000
K4 0.851 0.649 0.000
Rb1 0.000 0.000 0.500
Rb2 0.500 0.500 0.500
Cl1 0.156 0.656 0.500
Cl2 0.344 0.156 0.500
Cl3 0.656 0.844 0.500
Cl4 0.844 0.344 0.500

***

Total magnetic moment (μB per atom)
0.00; 0.10; 0.01; 0.00; 0.00; 0.00; 0.00; 0.00
Energy relative to the elements, uncorrected (eV/atom)
-1.402; -1.684; -1.693; -0.046; -1.951; -1.238; -0.481; -1.380